Entry from OQMD via LeMat-Bulk: a geometry-optimized YBeNi structure (GGA-PBE).

Calculated values
- ΔE to the lowest computed polymorph: 0.00 eV per formula unit
- Size of the total moment: 0.0 μB per formula unit

Lattice parameters (Å, degrees): 6.0433 6.0433 6.0433 90.00 90.00 90.00
With the nearest neighbours (Å) after each atom.
Space group F-43m (No. 216)
Unique sites:
Y1 0.0000 0.0000 0.0000 x4  4 Ni 2.62
Be1 0.0000 0.0000 0.5000 x4  4 Ni 2.62
Ni1 0.2500 0.2500 0.7500 x4  4 Y 2.62, 4 Be 2.62

***

Entry from OQMD via LeMat-Bulk: a geometry-optimized YErCI structure (GGA-PBE).

Calculated values
- Size of the total moment: 0.0 μB per formula unit
- E: -74.3 eV/cell

Lattice parameters (Å, degrees): 3.7625 3.7625 22.1244 90.00 90.00 120.00
With the nearest neighbours (Å) after each atom.
Space group R3m (No. 160, hexagonal axes)
Unique sites:
Y1 0.0000 0.0000 0.0000 x3  3 C 2.52
Er1 0.0000 0.0000 0.4450 x3  3 C 2.48
C1 0.0000 0.0000 0.7246 x3  3 Er 2.48, 3 Y 2.52
I1 0.0000 0.0000 0.2221 x3  3 Er 3.27, 3 Y 3.28

***

Entry from OQMD via LeMat-Bulk: a geometry-optimized Ba2ZrTaS6 structure (GGA-PBE).

Calculated values
- Size of the total moment: 0.0 μB per formula unit
- E: -130.5 eV/cell

Lattice parameters (Å, degrees): 6.9519 7.0208 12.1144 90.00 124.93 90.00
With the nearest neighbours (Å) after each atom.
Space group P2_1/c (No. 14)
Unique sites:
Ba1 0.2418 0.0379 0.2498 x4  8 S 3.21-3.43
Zr1 0.5000 0.0000 0.0000 x2  6 S 2.55-2.56
Ta1 0.0000 0.0000 0.5000 x2  6 S 2.45-2.46
S1 0.1873 0.2212 0.9766 x4  1 Ta 2.46, 1 Zr 2.55
S2 0.2550 0.7111 0.9759 x4  1 Ta 2.45, 1 Zr 2.56
S3 0.2907 0.0004 0.7449 x4  1 Ta 2.45, 1 Zr 2.55

***

Entry from OQMD via LeMat-Bulk: a geometry-optimized CoBi2As structure (GGA-PBE).

Calculated values
- Size of the total moment: 1.5 μB per formula unit
- E: -68.9 eV/cell

Lattice parameters (Å, degrees): 7.1130 7.1130 7.1130 90.00 90.00 90.00
With the nearest neighbours (Å) after each atom.
Space group F-43m (No. 216)
Unique sites:
Co1 0.0000 0.0000 0.0000 x4  4 As 3.08, 4 Bi 3.08
Bi1 0.0000 0.0000 0.5000 x4  4 Bi 3.08, 4 As 3.08
Bi2 0.2500 0.2500 0.2500 x4  4 Co 3.08, 4 Bi 3.08
As1 0.2500 0.2500 0.7500 x4  4 Co 3.08, 4 Bi 3.08